# BaAl5PtAu GGA-PBE optimized geometry
# DFT total energy: -4.364 eV per atom
# Magnetic moment: 0.000 μB/atom
data_BaAl5PtAu
_space_group_name_H-M_alt 'P 1'
_space_group_IT_number 1
_cell_length_a 6.7115
_cell_length_b 6.7115
_cell_length_c 6.7115
_cell_angle_alpha 143.10
_cell_angle_beta 113.19
_cell_angle_gamma 78.84
loop_
_space_group_symop_operation_xyz
'x,y,z'
loop_
_atom_site_label
_atom_site_type_symbol
_atom_site_fract_x
_atom_site_fract_y
_atom_site_fract_z
Al1 Al 0.4998 0.9998 0.5000
Au1 Au 0.7381 0.2381 0.5000
Ba1 Ba 0.9997 0.9997 0.0000
Al2 Al 0.4577 0.6522 0.8055
Al3 Al 0.5280 0.3448 0.1832
Al4 Al 0.1616 0.3448 0.8168
Pt1 Pt 0.2686 0.7686 0.5000
Al5 Al 0.8467 0.6522 0.1945

***

# BaAlZnAu GGA-PBE optimized geometry
# Distance to the lowest polymorph of the same formula: 0.126 eV/atom
# DFT total energy: -2.582 eV per atom
data_BaAlZnAu
_space_group_name_H-M_alt 'P 1'
_space_group_IT_number 1
_cell_length_a 5.2074
_cell_length_b 5.2074
_cell_length_c 5.2074
_cell_angle_alpha 60.00
_cell_angle_beta 60.00
_cell_angle_gamma 60.00
loop_
_space_group_symop_operation_xyz
'x,y,z'
loop_
_atom_site_label
_atom_site_type_symbol
_atom_site_fract_x
_atom_site_fract_y
_atom_site_fract_z
Zn1 Zn 0.0000 0.0000 0.0000
Al1 Al 0.2500 0.2500 0.2500
Au1 Au 0.7500 0.7500 0.7500
Ba1 Ba 0.5000 0.5000 0.5000

***

# BaAlZnAu GGA-PBE optimized geometry
# Distance to the lowest polymorph of the same formula: 0.076 eV/atom
# DFT total energy: -2.632 eV per atom
data_BaAlZnAu
_space_group_name_H-M_alt 'P 1'
_space_group_IT_number 1
_cell_length_a 5.0884
_cell_length_b 5.0884
_cell_length_c 5.0884
_cell_angle_alpha 60.00
_cell_angle_beta 60.00
_cell_angle_gamma 60.00
loop_
_space_group_symop_operation_xyz
'x,y,z'
loop_
_atom_site_label
_atom_site_type_symbol
_atom_site_fract_x
_atom_site_fract_y
_atom_site_fract_z
Ba1 Ba 0.2500 0.2500 0.2500
Al1 Al 0.5000 0.5000 0.5000
Au1 Au 0.7500 0.7500 0.7500
Zn1 Zn 0.0000 0.0000 0.0000

***

# BaAlZnAu GGA-PBE optimized geometry
# Distance to the lowest polymorph of the same formula: 0.000 eV/atom
# DFT total energy: -2.708 eV per atom
data_BaAlZnAu
_space_group_name_H-M_alt 'P 1'
_space_group_IT_number 1
_cell_length_a 5.1978
_cell_length_b 5.1978
_cell_length_c 5.1978
_cell_angle_alpha 60.00
_cell_angle_beta 60.00
_cell_angle_gamma 60.00
loop_
_space_group_symop_operation_xyz
'x,y,z'
loop_
_atom_site_label
_atom_site_type_symbol
_atom_site_fract_x
_atom_site_fract_y
_atom_site_fract_z
Al1 Al 0.0000 0.0000 0.0000
Au1 Au 0.7500 0.7500 0.7500
Zn1 Zn 0.2500 0.2500 0.2500
Ba1 Ba 0.5000 0.5000 0.5000

***

# BeAlAu GGA-PBE optimized geometry
# Distance to the lowest polymorph of the same formula: 0.000 eV/atom
# DFT total energy: -3.723 eV per atom
data_BeAlAu
_space_group_name_H-M_alt 'P 1'
_space_group_IT_number 1
_cell_length_a 4.1114
_cell_length_b 4.1114
_cell_length_c 4.1114
_cell_angle_alpha 60.00
_cell_angle_beta 60.00
_cell_angle_gamma 60.00
loop_
_space_group_symop_operation_xyz
'x,y,z'
loop_
_atom_site_label
_atom_site_type_symbol
_atom_site_fract_x
_atom_site_fract_y
_atom_site_fract_z
Au1 Au 0.0000 0.0000 0.0000
Al1 Al 0.2500 0.2500 0.2500
Be1 Be 0.7500 0.7500 0.7500

***

# Be2AlAu GGA-PBE optimized geometry
# DFT total energy: -3.496 eV per atom
data_Be2AlAu
_space_group_name_H-M_alt 'P 1'
_space_group_IT_number 1
_cell_length_a 4.1641
_cell_length_b 4.1641
_cell_length_c 4.1641
_cell_angle_alpha 60.00
_cell_angle_beta 60.00
_cell_angle_gamma 60.00
loop_
_space_group_symop_operation_xyz
'x,y,z'
loop_
_atom_site_label
_atom_site_type_symbol
_atom_site_fract_x
_atom_site_fract_y
_atom_site_fract_z
Al1 Al 0.5000 0.5000 0.5000
Be1 Be 0.7500 0.7500 0.7500
Be2 Be 0.0000 0.0000 0.0000
Au1 Au 0.2500 0.2500 0.2500

***

- DFT total energy of number 1 (BaAl5PtAu)?
  -4.364 eV per atom